(1)
DFT (PBE-GGA) results for crystalline Nd3Te3S at its relaxed geometry.

a b c (Å): 7.883 7.883 8.020
angles (deg): 92.16 92.16 110.65
Element x y z (fractional)
Nd 0.064 0.064 0.299
Nd 0.184 0.487 0.802
Nd 0.487 0.184 0.802
Nd 0.513 0.816 0.198
Nd 0.816 0.513 0.198
Nd 0.936 0.936 0.701
Te 0.161 0.839 0.000
Te 0.232 0.768 0.500
Te 0.370 0.370 0.141
Te 0.630 0.630 0.859
Te 0.768 0.232 0.500
Te 0.839 0.161 0.000
S 0.232 0.232 0.596
S 0.768 0.768 0.404

Calculated values
VASP energy (eV/atom): -5.42
Formation energy without anion corrections (eV per atom): -1.442



(2)
DFT (PBE-GGA) results for crystalline Ac3GaSe2 at its relaxed geometry.

a b c (Å): 6.393 13.625 9.056
angles (deg): 90.00 90.00 90.00
Element x y z (fractional)
Ac 0.250 0.083 0.124
Ac 0.250 0.083 0.625
Ac 0.250 0.417 0.125
Ac 0.250 0.417 0.624
Ac 0.250 0.749 0.624
Ac 0.250 0.751 0.124
Ac 0.750 0.249 0.876
Ac 0.750 0.251 0.376
Ac 0.750 0.583 0.376
Ac 0.750 0.583 0.875
Ac 0.750 0.917 0.375
Ac 0.750 0.917 0.876
Ga 0.250 0.586 0.369
Ga 0.250 0.914 0.869
Ga 0.750 0.086 0.131
Ga 0.750 0.414 0.631
Se 0.249 0.250 0.374
Se 0.249 0.250 0.874
Se 0.250 0.584 0.877
Se 0.250 0.916 0.377
Se 0.750 0.084 0.623
Se 0.750 0.416 0.123
Se 0.751 0.750 0.126
Se 0.751 0.750 0.626

Calculated values
VASP energy (eV/atom): -5.15
Formation energy without anion corrections (eV per atom): -1.428



(3)
DFT (PBE-GGA) results for crystalline PuCd3O6F2 at its relaxed geometry.

a b c (Å): 6.743 6.743 4.850
angles (deg): 91.00 91.00 57.82
Element x y z (fractional)
Pu 0.000 0.000 0.000
Cd 0.000 0.500 0.000
Cd 0.500 0.000 0.000
Cd 0.500 0.500 0.500
O 0.155 0.155 0.801
O 0.158 0.717 0.771
O 0.283 0.842 0.229
O 0.717 0.158 0.771
O 0.842 0.283 0.229
O 0.845 0.845 0.199
F 0.334 0.334 0.266
F 0.666 0.666 0.734

Calculated values
VASP energy (eV/atom): -5.84
Formation energy without anion corrections (eV per atom): -1.622



(4)
DFT (PBE-GGA) results for crystalline SrTm2Hg3 at its relaxed geometry.

a b c (Å): 3.745 3.745 11.482
angles (deg): 90.00 90.00 90.00
Element x y z (fractional)
Sr 0.000 0.000 0.000
Tm 0.000 0.000 0.343
Tm 0.000 0.000 0.657
Hg 0.500 0.500 0.195
Hg 0.500 0.500 0.500
Hg 0.500 0.500 0.805

Calculated values
VASP energy (eV/atom): -2.42
ΔE_f (meV/atom): -494



(5)
DFT (PBE-GGA) results for crystalline SiRu2W at its relaxed geometry.

a b c (Å): 4.861 4.861 4.861
angles (deg): 135.06 135.06 65.43
Element x y z (fractional)
Si 0.000 0.000 0.000
Ru 0.500 0.500 0.000
Ru 0.750 0.250 0.500
W 0.250 0.750 0.500

Calculated values
VASP energy (eV/atom): -9.32
Formation energy without anion corrections (eV per atom): -0.089



(6)
DFT (PBE-GGA) results for crystalline NbMoRu3 at its relaxed geometry.

a b c (Å): 4.807 4.807 5.215
angles (deg): 119.72 119.72 53.65
Element x y z (fractional)
Nb 0.000 0.000 0.000
Mo 0.395 0.395 0.377
Ru 0.259 0.259 0.742
Ru 0.682 0.682 0.954
Ru 0.705 0.705 0.436

Calculated values
Distance to the lowest polymorph of the same formula (meV per atom): 0
VASP energy (eV/atom): -9.54
ΔE_f (meV/atom): 203